# GGA-PBE Rb2InSiTe4, relaxed
# - Electronic total energy: -213.2 eV/cell
# - Formation energy from raw total energies: -0.50 eV/atom
data_Rb2InSiTe4
_chemical_formula_sum 'Rb16 In8 Si8 Te32'
_cell_length_a 6.790
_cell_length_b 15.332
_cell_length_c 26.113
_cell_angle_alpha 90.00
_cell_angle_beta 90.00
_cell_angle_gamma 90.00
_space_group_name_H-M_alt 'F d d d'
_space_group_IT_number 70
loop_
_space_group_symop_operation_xyz
'x,y,z'
'-x,-y,-z'
'-x+1/4,-y+1/4,z'
'x+1/4,y+1/4,-z'
'x,-y+1/4,-z+1/4'
'-x,y+1/4,z+1/4'
'-x+1/4,y,-z+1/4'
'x+1/4,-y,z+1/4'
'x,y+1/2,z+1/2'
'-x,-y+1/2,-z+1/2'
'-x+1/4,-y+3/4,z+1/2'
'x+1/4,y+3/4,-z+1/2'
'x,-y+3/4,-z+3/4'
'-x,y+3/4,z+3/4'
'-x+1/4,y+1/2,-z+3/4'
'x+1/4,-y+1/2,z+3/4'
'x+1/2,y,z+1/2'
'-x+1/2,-y,-z+1/2'
'-x+3/4,-y+1/4,z+1/2'
'x+3/4,y+1/4,-z+1/2'
'x+1/2,-y+1/4,-z+3/4'
'-x+1/2,y+1/4,z+3/4'
'-x+3/4,y,-z+3/4'
'x+3/4,-y,z+3/4'
'x+1/2,y+1/2,z'
'-x+1/2,-y+1/2,-z'
'-x+3/4,-y+3/4,z'
'x+3/4,y+3/4,-z'
'x+1/2,-y+3/4,-z+1/4'
'-x+1/2,y+3/4,z+1/4'
'-x+3/4,y+1/2,-z+1/4'
'x+3/4,-y+1/2,z+1/4'
loop_
_atom_site_label
_atom_site_fract_x
_atom_site_fract_y
_atom_site_fract_z
Rb1 0.125 0.125 0.309
In1 0.125 0.125 0.125
Si1 0.125 0.125 0.625
Te1 0.102 0.275 0.817